This record from Alexandria describes MgCoPt2 after structural relaxation. The functional is PBE-GGA.

## Properties
- DOS at the Fermi energy (states/eV/atom) = 1.13
- V (A^3/atom) = 14.8
- energy relative to the elements (meV per atom) = -276

Lattice parameters (Å, degrees): 8.800 8.800 8.800 18.37 18.37 18.37
Each line ends with the local moment (μB).
Atoms (fractional coordinates):
Co 0.250 0.250 0.250  1.82
Mg 0.750 0.750 0.750  -0.01
Pt 0.998 0.998 0.998  0.11
Pt 0.502 0.502 0.502  0.11

This record from Alexandria describes HPdPt after structural relaxation. The functional is PBE-GGA.

## Properties
- DOS at the Fermi energy (states/eV/atom) = 1.04
- V (A^3/atom) = 11.2
- calculated total energy (eV for the cell shown) = -29.042

Lattice parameters (Å, degrees): 4.887 4.887 2.930 90.00 90.00 106.07
Atoms (fractional coordinates):
H 0.000 0.500 0.000
H 0.500 0.000 0.000
Pd 0.750 0.250 0.500
Pd 0.250 0.750 0.500
Pt 0.750 0.750 0.000
Pt 0.250 0.250 0.000

This record from Alexandria describes NaTe2F2 after structural relaxation. The functional is PBE-GGA.

## Properties
- DOS at the Fermi energy (states/eV/atom) = 0.68
- V (A^3/atom) = 23.9
- formation energy from raw total energies (eV per atom) = -0.9233

Lattice parameters (Å, degrees): 4.734 4.734 6.294 67.91 67.91 90.00
Atoms (fractional coordinates):
Na 0.000 0.000 0.000
Te 0.378 0.378 0.245
Te 0.622 0.622 0.755
F 0.750 0.250 0.500
F 0.250 0.750 0.500

This record from Alexandria describes TbEr2CuSe5 after structural relaxation. The functional is PBE-GGA.

## Properties
- DOS at the Fermi energy (states/eV/atom) = 0.01
- V (A^3/atom) = 23.1
- formation energy from raw total energies (eV per atom) = -1.5004

Lattice parameters (Å, degrees): 3.963 9.017 11.914 90.00 90.00 102.69
Atoms (fractional coordinates):
Tb 0.808 0.615 0.510
Tb 0.192 0.385 0.010
Er 0.881 0.762 0.805
Er 0.106 0.212 0.683
Er 0.119 0.238 0.305
Er 0.894 0.788 0.183
Cu 0.564 0.128 0.957
Cu 0.436 0.872 0.457
Se 0.358 0.716 0.001
Se 0.681 0.363 0.839
Se 0.498 0.996 0.781
Se 0.290 0.579 0.681
Se 0.959 0.919 0.567
Se 0.642 0.284 0.501
Se 0.319 0.637 0.339
Se 0.502 0.004 0.281
Se 0.710 0.421 0.181
Se 0.041 0.081 0.067

This record from Alexandria describes ReAgRh2 after structural relaxation. The functional is PBE-GGA.

## Properties
- DOS at the Fermi energy (states/eV/atom) = 1.12
- V (A^3/atom) = 15.3
- energy relative to the elements (meV per atom) = 396

Lattice parameters (Å, degrees): 4.687 4.687 2.784 90.00 90.00 90.00
Atoms (fractional coordinates):
Re 0.000 0.000 0.500
Ag 0.500 0.500 0.500
Rh 0.500 0.000 0.000
Rh 0.000 0.500 0.000

This record from Alexandria describes AcPaBeN3 after structural relaxation. The functional is PBE-GGA.

## Properties
- DOS at the Fermi energy (states/eV/atom) = 0.41
- V (A^3/atom) = 15.3
- formation energy from raw total energies (eV per atom) = -1.3003

Lattice parameters (Å, degrees): 3.504 7.491 7.200 103.12 90.00 90.00
Atoms (fractional coordinates):
Ac 0.750 0.819 0.780
Ac 0.250 0.181 0.220
Pa 0.250 0.662 0.184
Pa 0.750 0.338 0.816
Be 0.250 0.069 0.602
Be 0.750 0.931 0.398
N 0.250 0.850 0.479
N 0.750 0.873 0.156
N 0.750 0.434 0.135
N 0.750 0.150 0.521
N 0.250 0.566 0.865
N 0.250 0.127 0.844

This record from Alexandria describes RbW2SI after structural relaxation. The functional is PBE-GGA.

## Properties
- DOS at the Fermi energy (states/eV/atom) = 0.86
- V (A^3/atom) = 60.7
- formation energy from raw total energies (eV per atom) = 3.3651

Lattice parameters (Å, degrees): 6.885 6.400 6.885 90.00 90.00 90.00
Each line ends with the local moment (μB).
Atoms (fractional coordinates):
I 0.000 0.500 0.000  0.05
S 0.500 0.500 0.500  -0.84
Rb 0.000 0.000 0.000  0.07
W 0.000 0.000 0.500  3.78
W 0.500 0.000 0.000  3.81